w.
Material: PuNiC
Method: DFT, PBE
State: optimized geometry

Calculated values
- density of states at the Fermi level (states/eV/atom) = 2.3409

Cell lengths 5.4265, 3.3263, 5.5367 Å; angles 90.00, 119.20, 90.00 degrees
Space group P2/m (No. 10)
Symmetry-distinct sites (fractional):
Pu (0.1370, 0.0000, 0.2750) x2
Ni (0.3752, 0.5000, 0.7491) x2
C (0.2355, 0.5000, 0.9997) x2

---

x.
Material: PuNiC
Method: DFT, PBE
State: optimized geometry

Calculated values
- density of states at the Fermi level (states/eV/atom) = 2.6589

Cell lengths 3.5588, 3.5588, 3.6931 Å; angles 90.00, 90.00, 120.00 degrees
Space group P3m1 (No. 156)
Symmetry-distinct sites (fractional):
Pu (0.0000, 0.0000, 0.0000) x1
Ni (0.6667, 0.3333, 0.5001) x1
C (0.3333, 0.6667, 0.4961) x1

---

Least stable = w

---

w.
Material: RbNiC2
Method: DFT, PBE
State: optimized geometry

Calculated values
- density of states at the Fermi level (states/eV/atom) = 0.9244

Cell lengths 6.0473, 6.0473, 6.0473 Å; angles 90.00, 90.00, 90.00 degrees
Space group Fm-3m (No. 225)
Symmetry-distinct sites (fractional):
Rb (0.0000, 0.0000, 0.0000) x4
Ni (0.0000, 0.0000, 0.5000) x4
C (0.2500, 0.2500, 0.2500) x8

---

x.
Material: RbNiC2
Method: DFT, PBE
State: optimized geometry

Calculated values
- density of states at the Fermi level (states/eV/atom) = 0.4499

Cell lengths 5.3474, 5.3474, 9.7379 Å; angles 90.00, 90.00, 90.00 degrees
Space group I4_1/amd (No. 141, origin choice 2)
Symmetry-distinct sites (fractional):
Rb (0.0000, 0.2500, 0.3750) x4
Ni (0.0000, 0.2500, 0.8750) x4
C (0.0000, 0.0000, 0.0000) x8

---

Least stable = w

---

w.
Material: RbNiC3
Method: DFT, PBE
State: optimized geometry

Calculated values
- density of states at the Fermi level (states/eV/atom) = 1.6990

Cell lengths 4.0463, 4.0463, 4.0463 Å; angles 90.00, 90.00, 90.00 degrees
Space group Pm-3m (No. 221)
Symmetry-distinct sites (fractional):
Rb (0.0000, 0.0000, 0.0000) x1
Ni (0.5000, 0.5000, 0.5000) x1
C (0.0000, 0.5000, 0.5000) x3

---

x.
Material: RbNiC3
Method: DFT, PBE
State: optimized geometry

Calculated values
- density of states at the Fermi level (states/eV/atom) = 0.7803

Cell lengths 4.3724, 4.3724, 4.3724 Å; angles 90.00, 90.00, 90.00 degrees
Space group Pm-3m (No. 221)
Symmetry-distinct sites (fractional):
Rb (0.0000, 0.0000, 0.0000) x1
Ni (0.5000, 0.5000, 0.5000) x1
C (0.0000, 0.0000, 0.5000) x3

---

Least stable = x